[1]
A plane-wave DFT calculation with PBE was carried out for a relaxed structure of Cd2Co2Hg.

```
10
Lattice="6.667 0.000 0.000 0.000 6.667 0.000 0.000 0.000 3.958" Properties=species:S:1:pos:R:3 pbc="T T T"
Co 4.130 0.797 0.000
Co 5.870 4.130 0.000
Cd 1.133 4.466 1.979
Co 0.797 2.537 0.000
Cd 5.534 2.201 1.979
Hg 0.000 0.000 0.000
Hg 3.334 3.334 0.000
Co 2.537 5.870 0.000
Cd 2.201 1.133 1.979
Cd 4.466 5.534 1.979
```

- ΔE to the lowest computed polymorph (meV/atom) = 0
- space group = No. 127
- crystal system = tetragonal

***

[2]
A plane-wave DFT calculation with PBE was carried out for a relaxed structure of Ti2PdPt2.

```
10
Lattice="2.814 0.000 0.000 0.000 4.572 0.267 0.000 -0.721 12.337" Properties=species:S:1:pos:R:3 pbc="T T T"
Pt 0.704 2.807 10.820
Ti 0.704 0.459 11.742
Pt 0.704 0.751 6.764
Pd 2.111 0.602 9.299
Pt 2.111 1.044 1.784
Pt 2.111 3.099 5.840
Pd 0.704 3.249 3.305
Ti 2.111 3.391 0.862
Ti 2.111 0.890 4.397
Ti 0.704 2.960 8.207
```

- ΔE to the lowest computed polymorph (meV/atom) = 174
- space group = No. 59
- crystal system = orthorhombic

***

Calculated N(E_F) (states/eV/atom), listed in the same order as above: 0.886 0.925
Calculated magnetic moment (μB per formula unit), listed in the same order as above: 2.418 0.001
Calculated ΔH_f (0 K) (eV/atom), listed in the same order as above: 0.293 -0.625